No. 1
{"formula": "CsTmIr", "functional": "GGA-PBE", "state": "optimized geometry", "e_tot_ev_per_atom": -4.215, "sg": "No. 216", "polymorph_energy_kj_per_mol_fu": 0, "magmom_total_mub_per_fu": 0.1, "lattice": [[0.000, 3.548, 3.548], [3.548, 0.000, 3.548], [3.548, 3.548, 0.000]], "species": ["Cs", "Tm", "Ir"], "frac_coords": [[0.000, 0.000, 0.000], [0.500, 0.500, 0.500], [0.250, 0.250, 0.250]]}


No. 2
{"formula": "HgBr2", "functional": "GGA-PBE", "state": "optimized geometry", "e_tot_ev_per_atom": -1.339, "sg": "No. 225", "lattice": [[0.000, 3.519, 3.519], [3.519, 0.000, 3.519], [3.519, 3.519, 0.000]], "species": ["Hg", "Br", "Br"], "frac_coords": [[0.000, 0.000, 0.000], [0.250, 0.250, 0.250], [0.750, 0.750, 0.750]]}


No. 3
{"formula": "NbInFeRe", "functional": "GGA-PBE", "state": "optimized geometry", "e_tot_ev_per_atom": -8.169, "sg": "No. 216", "polymorph_energy_kj_per_mol_fu": 0, "magmom_total_mub_per_fu": 0.9, "lattice": [[0.000, 3.172, 3.172], [3.172, 0.000, 3.172], [3.172, 3.172, 0.000]], "species": ["Nb", "In", "Fe", "Re"], "frac_coords": [[0.000, 0.000, 0.000], [0.500, 0.500, 0.500], [0.750, 0.750, 0.750], [0.250, 0.250, 0.250]]}


No. 4
{"formula": "YLuAg2Sn2", "functional": "GGA-PBE", "state": "optimized geometry", "e_tot_ev_per_atom": -4.676, "sg": "No. 156", "magmom_total_mub_per_fu": 0.0, "lattice": [[4.715, 0.000, 0.000], [-2.358, 4.084, 0.000], [0.000, 0.000, 7.274]], "species": ["Y", "Lu", "Ag", "Ag", "Sn", "Sn"], "frac_coords": [[0.000, 0.000, 0.000], [0.000, 0.000, 0.501], [0.333, 0.667, 0.193], [0.667, 0.333, 0.685], [0.333, 0.667, 0.777], [0.667, 0.333, 0.282]]}


No. 5
{"formula": "NdGeSb", "functional": "GGA-PBE", "state": "optimized geometry", "e_tot_ev_per_atom": -4.725, "sg": "No. 216", "polymorph_energy_kj_per_mol_fu": 0, "magmom_total_mub_per_fu": 0.0, "lattice": [[0.000, 3.616, 3.616], [3.616, 0.000, 3.616], [3.616, 3.616, 0.000]], "species": ["Nd", "Ge", "Sb"], "frac_coords": [[0.000, 0.000, 0.000], [0.500, 0.500, 0.500], [0.750, 0.750, 0.750]]}


No. 6
{"formula": "SrCdSO", "functional": "GGA-PBE", "state": "optimized geometry", "e_tot_ev_per_atom": -4.212, "sg": "No. 129", "lattice": [[4.845, 0.000, 0.000], [0.000, 4.845, 0.000], [0.000, 0.000, 7.852]], "species": ["Sr", "Sr", "Cd", "Cd", "S", "S", "O", "O"], "frac_coords": [[0.250, 0.250, 0.177], [0.750, 0.750, 0.823], [0.250, 0.250, 0.631], [0.750, 0.750, 0.369], [0.250, 0.750, 0.500], [0.750, 0.250, 0.500], [0.250, 0.250, 0.897], [0.750, 0.750, 0.103]]}